Entry 1:
A relaxed structure of DyPuN. Source: Alexandria via LeMat-Bulk, functional GGA-PBE.

## Properties
Magnetization, μB per formula unit: 5.803
Crystal system: cubic
E, eV/atom: -9.283
Raw formation energy, eV per atom: -0.196
Energy above the lowest structure with this stoichiometry, meV/atom: 640

abc: 6.025 6.025 6.025
angles: 90.00 90.00 90.00
Space group F-43m (No. 216)
Inequivalent atoms, fractional coordinates:
Dy 0.000 0.000 0.000 (multiplicity 4)
Pu 0.000 0.000 0.500 (multiplicity 4)
N 0.250 0.250 0.750 (multiplicity 4)



Entry 2:
A relaxed structure of Cd4InSn2. Source: Alexandria via LeMat-Bulk, functional GGA-PBE.

## Properties
Magnetization, μB per formula unit: 0.000
Crystal system: orthorhombic
E, eV/atom: -2.020

abc: 5.154 21.545 3.188
angles: 90.00 90.00 90.00
Space group Cmmm (No. 65)
Inequivalent atoms, fractional coordinates:
Cd 0.000 0.160 0.000 (multiplicity 4)
Cd 0.000 0.289 0.500 (multiplicity 4)
In 0.000 0.000 0.500 (multiplicity 2)
Sn 0.000 0.420 0.000 (multiplicity 4)